First-principles (PBE) data for AcPrNO after structural relaxation, as listed in OQMD.

```
data_AcPrNO
_space_group_name_H-M_alt 'P c a 21'
_space_group_IT_number 29
_cell_length_a 7.293
_cell_length_b 8.757
_cell_length_c 5.365
_cell_angle_alpha 90.00
_cell_angle_beta 90.00
_cell_angle_gamma 90.00
loop_
_space_group_symop_operation_xyz
'x,y,z'
'-x,-y,z+1/2'
'-x+1/2,y,z+1/2'
'x+1/2,-y,z'
loop_
_atom_site_label
_atom_site_fract_x
_atom_site_fract_y
_atom_site_fract_z
Ac1 0.065 0.129 0.000
Pr1 0.088 0.619 0.001
N1 0.077 0.616 0.502
O1 0.093 0.143 0.499
```

Values from the calculation:
Energy above the most stable polymorph in this dataset ... 0.05 eV/f.u.
Volume ... 342.7 Å³/cell